Entry 1:
# RbTePdC2, relaxed, DFT PBE
data_RbTePdC2
_cell_length_a 4.561
_cell_length_b 4.561
_cell_length_c 5.090
_cell_angle_alpha 90.00
_cell_angle_beta 90.00
_cell_angle_gamma 90.00
_symmetry_space_group_name_H-M 'P 4/m m m'
_symmetry_Int_Tables_number 123
_symmetry_space_group_name_Hall '-P 4 2'
loop_
_atom_site_label
_atom_site_fract_x
_atom_site_fract_y
_atom_site_fract_z
_atom_site_occupancy
Rb1 0.000 0.000 0.000 1
Te1 0.500 0.500 0.500 1
Pd1 0.500 0.500 0.000 1
C1 0.000 0.500 0.500 1
# - total magnetization (μB per formula unit) = 1.73
# - formation energy (no corrections) (eV/atom) = 1.848
# - Fermi-level density of states (states/eV/f.u.) = 3.426
# - E (Ry/atom) = -0.272

=====

Entry 2:
# Ag4RuPb, relaxed, DFT PBE
data_Ag4RuPb
_cell_length_a 7.773
_cell_length_b 7.773
_cell_length_c 7.773
_cell_angle_alpha 90.00
_cell_angle_beta 90.00
_cell_angle_gamma 90.00
_symmetry_space_group_name_H-M 'F -4 3 m'
_symmetry_Int_Tables_number 216
_symmetry_space_group_name_Hall 'F -4 2 3'
loop_
_atom_site_label
_atom_site_fract_x
_atom_site_fract_y
_atom_site_fract_z
_atom_site_occupancy
Ag1 0.124 0.124 0.376 1
Ru1 0.250 0.250 0.750 1
Pb1 0.000 0.000 0.000 1
# - total magnetization (μB per formula unit) = 1.07
# - calculated formation energy (eV per atom) = 0.534
# - Fermi-level density of states (states/eV/f.u.) = 6.988
# - E (Ry/atom) = -0.259

=====

| no. | mass density (kg/m³) | calculated volume (Å³/cell) |
| --- | --- | --- |
| 1 | 5387 | 105.9 |
| 2 | 10461 | 469.7 |